The following is a DFT calculation (PBE with a Hubbard U) of a geometry-optimized Mo2OsAuO structure.

```
5
Lattice="-2.2032 4.5078 -1.8128 -2.0526 0.2206 3.0431 3.8391 2.8351 2.3840" Properties=species:S:1:pos:R:3 pbc="T T T"
Os 0.0000 0.0000 0.0000
Mo 1.9195 1.4176 1.1920
Mo -1.1016 2.2539 -0.9064
Au -0.2084 3.7817 1.8072
O -1.0263 0.1103 1.5216
```

Results
D(E_F) = 3.62 states/eV/cell
Energy = -5.89 eV/atom
Crystal system = tetragonal